Computed, not measured: NaAgTe3Pt after structural relaxation at the PBE level of DFT.

```
NaAgTe3Pt
1.0
6.881 -2.025 0.000
6.881 2.025 0.000
0.000 0.000 11.248
Te Na Pt Ag
6 2 2 2
direct
0.869 0.869 0.515 Te
0.131 0.131 0.015 Te
0.869 0.869 0.985 Te
0.440 0.440 0.250 Te
0.560 0.560 0.750 Te
0.131 0.131 0.485 Te
0.755 0.755 0.250 Na
0.245 0.245 0.750 Na
0.500 0.500 0.500 Pt
0.500 0.500 0.000 Pt
0.083 0.083 0.250 Ag
0.917 0.917 0.750 Ag
```

Space-group type: No. 63
Energy: -43.0 eV for the cell shown